No. 1
Entry from Alexandria: BeIn3Ag after structural relaxation (GGA-PBEsol). Values from VASP.

Geometry as Quantum ESPRESSO input:
```
&SYSTEM
  ibrav = 0, nat = 5, ntyp = 3
/
ATOMIC_SPECIES
In 114.82 In.upf
Ag 107.87 Ag.upf
Be 9.01 Be.upf
CELL_PARAMETERS angstrom
-1.200 1.950 4.233
0.454 -4.301 2.110
4.638 0.925 0.888
ATOMIC_POSITIONS angstrom
In 2.319 0.463 0.444
In -0.600 0.975 2.117
In 0.227 -2.151 1.055
Ag 1.947 -0.713 3.616
Be 0.000 0.000 0.000
```

Results
Symmetry ... Pm-3m, No. 221
Total moment ... 0.0 μB/cell
Volume ... 111.5 Å³/cell
Energy ... -2.87 eV/atom

---

No. 2
Entry from Alexandria: BeIn2Ag after structural relaxation (GGA-PBEsol). Values from VASP.

Geometry as Quantum ESPRESSO input:
```
&SYSTEM
  ibrav = 0, nat = 4, ntyp = 3
/
ATOMIC_SPECIES
Ag 107.87 Ag.upf
Be 9.01 Be.upf
In 114.82 In.upf
CELL_PARAMETERS angstrom
-3.354 0.643 -2.190
-2.246 -2.321 2.758
-0.816 3.493 2.275
ATOMIC_POSITIONS angstrom
Ag -3.208 0.907 1.422
Be -1.677 0.322 -1.095
In -0.408 1.746 1.137
In -1.123 -1.160 1.379
```

Results
Symmetry ... P4/mmm, No. 123
Total moment ... 0.0 μB/cell
Volume ... 73.2 Å³/cell
Energy ... -2.99 eV/atom